# 1
Material: Dy12Te3Au5
Method: DFT, PBE
State: optimized geometry

Values from the calculation:
formation energy from raw total energies: -0.400 eV per atom

a = 14.993 Å, b = 14.993 Å, c = 14.993 Å
α = 109.47°, β = 109.47°, γ = 109.47°
Atoms (fractional coordinates):
Dy 0.045 0.214 0.123
Dy 0.045 0.331 0.922
Dy 0.078 0.623 0.408
Dy 0.078 0.955 0.669
Dy 0.092 0.714 0.669
Dy 0.092 0.877 0.422
Dy 0.123 0.045 0.214
Dy 0.123 0.578 0.908
Dy 0.169 0.214 0.592
Dy 0.169 0.455 0.578
Dy 0.214 0.123 0.045
Dy 0.214 0.592 0.169
Dy 0.286 0.331 0.908
Dy 0.286 0.455 0.377
Dy 0.331 0.908 0.286
Dy 0.331 0.922 0.045
Dy 0.377 0.286 0.455
Dy 0.377 0.592 0.922
Dy 0.408 0.078 0.623
Dy 0.408 0.831 0.786
Dy 0.422 0.092 0.877
Dy 0.422 0.831 0.545
Dy 0.455 0.377 0.286
Dy 0.455 0.578 0.169
Dy 0.545 0.422 0.831
Dy 0.545 0.623 0.714
Dy 0.578 0.169 0.455
Dy 0.578 0.908 0.123
Dy 0.592 0.169 0.214
Dy 0.592 0.922 0.377
Dy 0.623 0.408 0.078
Dy 0.623 0.714 0.545
Dy 0.669 0.078 0.955
Dy 0.669 0.092 0.714
Dy 0.714 0.545 0.623
Dy 0.714 0.669 0.092
Dy 0.786 0.408 0.831
Dy 0.786 0.877 0.955
Dy 0.831 0.545 0.422
Dy 0.831 0.786 0.408
Dy 0.877 0.422 0.092
Dy 0.877 0.955 0.786
Dy 0.908 0.123 0.578
Dy 0.908 0.286 0.331
Dy 0.922 0.045 0.331
Dy 0.922 0.377 0.592
Dy 0.955 0.669 0.078
Dy 0.955 0.786 0.877
Te 0.125 0.250 0.375
Te 0.125 0.375 0.750
Te 0.250 0.375 0.125
Te 0.250 0.875 0.625
Te 0.375 0.125 0.250
Te 0.375 0.750 0.125
Te 0.625 0.250 0.875
Te 0.625 0.875 0.750
Te 0.750 0.125 0.375
Te 0.750 0.625 0.875
Te 0.875 0.625 0.250
Te 0.875 0.750 0.625
Au 0.000 0.000 0.000
Au 0.000 0.000 0.500
Au 0.000 0.500 0.000
Au 0.000 0.500 0.500
Au 0.125 0.750 0.875
Au 0.125 0.875 0.250
Au 0.250 0.125 0.875
Au 0.250 0.625 0.375
Au 0.375 0.250 0.625
Au 0.375 0.625 0.750
Au 0.500 0.000 0.000
Au 0.500 0.000 0.500
Au 0.500 0.500 0.000
Au 0.500 0.500 0.500
Au 0.625 0.375 0.250
Au 0.625 0.750 0.375
Au 0.750 0.375 0.625
Au 0.750 0.875 0.125
Au 0.875 0.125 0.750
Au 0.875 0.250 0.125

# 2
Material: K5Tl3F12
Method: DFT, PBE
State: optimized geometry

Values from the calculation:
formation energy from raw total energies: -2.137 eV per atom

a = 12.635 Å, b = 12.635 Å, c = 12.635 Å
α = 109.47°, β = 109.47°, γ = 109.47°
Atoms (fractional coordinates):
K 0.000 0.000 0.000
K 0.000 0.000 0.500
K 0.000 0.500 0.000
K 0.000 0.500 0.500
K 0.125 0.750 0.875
K 0.125 0.875 0.250
K 0.250 0.125 0.875
K 0.250 0.625 0.375
K 0.375 0.250 0.625
K 0.375 0.625 0.750
K 0.500 0.000 0.000
K 0.500 0.000 0.500
K 0.500 0.500 0.000
K 0.500 0.500 0.500
K 0.625 0.375 0.250
K 0.625 0.750 0.375
K 0.750 0.375 0.625
K 0.750 0.875 0.125
K 0.875 0.125 0.750
K 0.875 0.250 0.125
Tl 0.125 0.250 0.375
Tl 0.125 0.375 0.750
Tl 0.250 0.375 0.125
Tl 0.250 0.875 0.625
Tl 0.375 0.125 0.250
Tl 0.375 0.750 0.125
Tl 0.625 0.250 0.875
Tl 0.625 0.875 0.750
Tl 0.750 0.125 0.375
Tl 0.750 0.625 0.875
Tl 0.875 0.625 0.250
Tl 0.875 0.750 0.625
F 0.057 0.630 0.385
F 0.057 0.927 0.672
F 0.073 0.245 0.130
F 0.073 0.328 0.943
F 0.115 0.745 0.672
F 0.115 0.870 0.443
F 0.130 0.073 0.245
F 0.130 0.557 0.885
F 0.172 0.245 0.615
F 0.172 0.427 0.557
F 0.245 0.130 0.073
F 0.245 0.615 0.172
F 0.255 0.328 0.885
F 0.255 0.427 0.370
F 0.328 0.885 0.255
F 0.328 0.943 0.073
F 0.370 0.255 0.427
F 0.370 0.615 0.943
F 0.385 0.057 0.630
F 0.385 0.828 0.755
F 0.427 0.370 0.255
F 0.427 0.557 0.172
F 0.443 0.115 0.870
F 0.443 0.828 0.573
F 0.557 0.172 0.427
F 0.557 0.885 0.130
F 0.573 0.443 0.828
F 0.573 0.630 0.745
F 0.615 0.172 0.245
F 0.615 0.943 0.370
F 0.630 0.385 0.057
F 0.630 0.745 0.573
F 0.672 0.057 0.927
F 0.672 0.115 0.745
F 0.745 0.573 0.630
F 0.745 0.672 0.115
F 0.755 0.385 0.828
F 0.755 0.870 0.927
F 0.828 0.573 0.443
F 0.828 0.755 0.385
F 0.870 0.443 0.115
F 0.870 0.927 0.755
F 0.885 0.130 0.557
F 0.885 0.255 0.328
F 0.927 0.672 0.057
F 0.927 0.755 0.870
F 0.943 0.073 0.328
F 0.943 0.370 0.615

# 3
Material: Tb3Np3WN8
Method: DFT, PBE
State: optimized geometry

Values from the calculation:
formation energy from raw total energies: -1.157 eV per atom

a = 6.829 Å, b = 6.829 Å, c = 6.829 Å
α = 59.12°, β = 59.12°, γ = 59.12°
Atoms (fractional coordinates):
Tb 0.000 0.500 0.500
Tb 0.500 0.000 0.500
Tb 0.500 0.500 0.000
Np 0.000 0.000 0.500
Np 0.000 0.500 0.000
Np 0.500 0.000 0.000
W 0.500 0.500 0.500
N 0.248 0.248 0.248
N 0.265 0.723 0.723
N 0.277 0.277 0.735
N 0.277 0.735 0.277
N 0.723 0.265 0.723
N 0.723 0.723 0.265
N 0.735 0.277 0.277
N 0.752 0.752 0.752

# 4
Material: PmTmCo2
Method: DFT, PBE
State: optimized geometry

Values from the calculation:
ΔH_f (0 K): -0.09 eV/atom

a = 4.756 Å, b = 4.756 Å, c = 4.756 Å
α = 60.00°, β = 60.00°, γ = 60.00°
Atoms (fractional coordinates):
Pm 0.000 0.000 0.000
Tm 0.500 0.500 0.500
Co 0.250 0.250 0.250
Co 0.750 0.750 0.750

# 5
Material: La3GeH
Method: DFT, PBE
State: optimized geometry

Values from the calculation:
electronic total energy: -101.35 eV/cell

a = 8.431 Å, b = 4.257 Å, c = 14.047 Å
α = 90.00°, β = 90.00°, γ = 90.00°
Atoms (fractional coordinates):
La 0.028 0.250 0.106
La 0.160 0.250 0.512
La 0.186 0.750 0.293
La 0.314 0.250 0.793
La 0.340 0.750 0.012
La 0.472 0.750 0.606
La 0.528 0.250 0.394
La 0.660 0.250 0.988
La 0.686 0.750 0.207
La 0.814 0.250 0.707
La 0.840 0.750 0.488
La 0.972 0.750 0.894
Ge 0.097 0.750 0.676
Ge 0.403 0.250 0.176
Ge 0.597 0.750 0.824
Ge 0.903 0.250 0.324
H 0.173 0.250 0.949
H 0.327 0.750 0.449
H 0.673 0.250 0.551
H 0.827 0.750 0.051

# 6
Material: CrTcW2
Method: DFT, PBE
State: optimized geometry

Values from the calculation:
ΔH_f (0 K): 0.10 eV/atom

a = 2.710 Å, b = 4.349 Å, c = 5.116 Å
α = 90.00°, β = 100.56°, γ = 90.00°
Atoms (fractional coordinates):
Cr 0.000 0.000 0.000
Tc 0.725 0.500 0.257
W 0.231 0.500 0.769
W 0.480 0.000 0.501

# 7
Material: TiInPd3
Method: DFT, PBE
State: optimized geometry

Values from the calculation:
ΔH_f (0 K): -0.56 eV/atom

a = 3.894 Å, b = 4.854 Å, c = 9.497 Å
α = 87.59°, β = 89.93°, γ = 66.38°
Atoms (fractional coordinates):
Ti 0.068 0.363 0.143
Ti 0.932 0.637 0.857
In 0.439 0.619 0.350
In 0.561 0.381 0.650
Pd 0.145 0.209 0.436
Pd 0.253 0.994 0.762
Pd 0.358 0.783 0.049
Pd 0.642 0.217 0.951
Pd 0.747 0.006 0.238
Pd 0.855 0.791 0.564

# 8
Material: Pr8Nd3Y2
Method: DFT, PBE
State: optimized geometry

Values from the calculation:
ΔH_f (0 K): 0.20 eV/atom

a = 11.088 Å, b = 11.088 Å, c = 5.881 Å
α = 90.01°, β = 90.01°, γ = 41.14°
Atoms (fractional coordinates):
Pr 0.101 0.685 0.000
Pr 0.174 0.174 0.500
Pr 0.315 0.899 0.000
Pr 0.366 0.366 0.500
Pr 0.634 0.634 0.500
Pr 0.685 0.101 0.000
Pr 0.826 0.826 0.500
Pr 0.899 0.315 0.000
Nd 0.213 0.787 0.500
Nd 0.500 0.500 0.000
Nd 0.787 0.213 0.500
Y 0.259 0.259 0.001
Y 0.741 0.741 0.999

# 9
Material: LiZn4Pt2
Method: DFT, PBE
State: optimized geometry

Values from the calculation:
ΔH_f (0 K): 0.09 eV/atom

a = 7.129 Å, b = 7.129 Å, c = 7.129 Å
α = 144.56°, β = 144.56°, γ = 51.00°
Atoms (fractional coordinates):
Li 0.000 0.000 0.000
Zn 0.000 0.500 0.500
Zn 0.197 0.197 0.000
Zn 0.500 0.000 0.500
Zn 0.803 0.803 0.000
Pt 0.389 0.389 0.000
Pt 0.611 0.611 0.000

# 10
Material: TmThNi4
Method: DFT, PBE
State: optimized geometry

Values from the calculation:
ΔH_f (0 K): -0.42 eV/atom

a = 3.652 Å, b = 4.054 Å, c = 7.089 Å
α = 90.00°, β = 90.00°, γ = 90.00°
Atoms (fractional coordinates):
Tm 0.000 0.000 0.000
Th 0.000 0.500 0.500
Ni 0.500 0.000 0.330
Ni 0.500 0.000 0.670
Ni 0.500 0.500 0.162
Ni 0.500 0.500 0.838

# 11
Material: NpSiSn2
Method: DFT, PBE
State: optimized geometry

Values from the calculation:
formation energy from raw total energies: -0.052 eV per atom

a = 4.367 Å, b = 4.367 Å, c = 4.665 Å
α = 90.00°, β = 90.00°, γ = 90.00°
Atoms (fractional coordinates):
Np 0.000 0.000 0.000
Si 0.500 0.500 0.000
Sn 0.000 0.500 0.500
Sn 0.500 0.000 0.500

# 12
Material: LiSi2Pd7
Method: DFT, PBE
State: optimized geometry

Values from the calculation:
formation energy from raw total energies: -0.211 eV per atom

a = 6.841 Å, b = 6.841 Å, c = 4.371 Å
α = 90.00°, β = 90.00°, γ = 115.71°
Atoms (fractional coordinates):
Li 0.000 0.000 0.000
Si 0.299 0.701 0.500
Si 0.701 0.299 0.500
Pd 0.066 0.319 0.500
Pd 0.230 0.770 0.000
Pd 0.319 0.066 0.500
Pd 0.500 0.500 0.500
Pd 0.681 0.934 0.500
Pd 0.770 0.230 0.000
Pd 0.934 0.681 0.500

# 13
Material: Pu2Ta3Si4
Method: DFT, PBE
State: optimized geometry

Values from the calculation:
formation energy from raw total energies: -0.581 eV per atom

a = 7.020 Å, b = 7.023 Å, c = 6.915 Å
α = 90.00°, β = 109.45°, γ = 90.00°
Atoms (fractional coordinates):
Pu 0.181 0.162 0.061
Pu 0.181 0.338 0.561
Pu 0.819 0.662 0.439
Pu 0.819 0.838 0.939
Ta 0.255 0.676 0.249
Ta 0.255 0.824 0.749
Ta 0.500 0.000 0.500
Ta 0.500 0.500 0.000
Ta 0.745 0.176 0.251
Ta 0.745 0.324 0.751
Si 0.085 0.537 0.870
Si 0.085 0.963 0.370
Si 0.489 0.128 0.869
Si 0.489 0.372 0.369
Si 0.511 0.628 0.631
Si 0.511 0.872 0.131
Si 0.915 0.037 0.630
Si 0.915 0.463 0.130

# 14
Material: Nd12ZrTl3
Method: DFT, PBE
State: optimized geometry

Values from the calculation:
ΔH_f (0 K): -0.12 eV/atom

a = 4.979 Å, b = 4.979 Å, c = 20.264 Å
α = 90.00°, β = 90.00°, γ = 90.00°
Atoms (fractional coordinates):
Nd 0.000 0.000 0.000
Nd 0.000 0.000 0.249
Nd 0.000 0.000 0.500
Nd 0.000 0.000 0.751
Nd 0.000 0.500 0.125
Nd 0.000 0.500 0.376
Nd 0.000 0.500 0.624
Nd 0.000 0.500 0.875
Nd 0.500 0.000 0.125
Nd 0.500 0.000 0.376
Nd 0.500 0.000 0.624
Nd 0.500 0.000 0.875
Zr 0.500 0.500 0.500
Tl 0.500 0.500 0.000
Tl 0.500 0.500 0.247
Tl 0.500 0.500 0.753

# 15
Material: Ba8InPt2
Method: DFT, PBE
State: optimized geometry

Values from the calculation:
ΔH_f (0 K): -0.22 eV/atom

a = 10.564 Å, b = 10.564 Å, c = 6.517 Å
α = 90.00°, β = 90.00°, γ = 120.00°
Atoms (fractional coordinates):
Ba 0.168 0.830 0.255
Ba 0.170 0.337 0.255
Ba 0.333 0.667 0.752
Ba 0.337 0.168 0.745
Ba 0.663 0.832 0.255
Ba 0.667 0.333 0.248
Ba 0.830 0.663 0.745
Ba 0.832 0.170 0.745
In 0.000 0.000 0.000
Pt 0.333 0.667 0.249
Pt 0.667 0.333 0.751

# 16
Material: NbBiSb2I
Method: DFT, PBE
State: optimized geometry

Values from the calculation:
formation energy from raw total energies: 0.463 eV per atom

a = 5.503 Å, b = 5.503 Å, c = 5.364 Å
α = 90.00°, β = 90.00°, γ = 90.00°
Atoms (fractional coordinates):
Nb 0.000 0.000 0.000
Bi 0.500 0.500 0.500
Sb 0.000 0.500 0.000
Sb 0.500 0.000 0.000
I 0.000 0.000 0.500

no.,density (g/cm³)
1,8.493
2,4.434
3,11.163
4,9.426
5,6.459
6,14.501
7,9.741
8,6.066
9,9.025
10,10.060
11,9.379
12,7.280
13,11.810
14,8.051
15,4.228
16,6.873